Computed, not measured: HfGaTeN2 after structural relaxation at the PBE-GGA level of DFT.

It has space group P4/mmm (No. 123), with a = 3.997 Å, b = 3.997 Å, c = 5.330 Å, α = 90.00°, β = 90.00° and γ = 90.00°. Symmetry generates all atoms from Hf at (0.000, 0.000, 0.000), Ga at (0.500, 0.500, 0.500), Te at (0.500, 0.500, 0.000) and N at (0.000, 0.500, 0.500).

As for the density of states at the Fermi level: 2.7 states/eV/f.u. The calculation puts the energy relative to the elements, uncorrected at 1.04 eV/atom.

---

Computed, not measured: ErTm2Tl3Se6 after structural relaxation at the PBE-GGA level of DFT.

It has space group C2/m (No. 12), with a = 7.173 Å, b = 12.423 Å, c = 8.140 Å, α = 90.00°, β = 107.08° and γ = 90.00°. Symmetry generates all atoms from Er at (0.000, 0.000, 0.000), Tm at (0.000, 0.333, 0.000), Tl at (0.000, 0.166, 0.500), Tl at (0.000, 0.500, 0.500), Se at (0.233, 0.500, 0.201) and Se at (0.234, 0.167, 0.202).

The calculation puts the energy relative to the elements, uncorrected at -1.38 eV/atom.

---

Computed, not measured: PPt2W after structural relaxation at the PBE-GGA level of DFT.

It has space group P4/mmm (No. 123), with a = 4.810 Å, b = 4.810 Å, c = 2.744 Å, α = 90.00°, β = 90.00° and γ = 90.00°. Symmetry generates all atoms from P at (0.000, 0.000, 0.000), Pt at (0.000, 0.500, 0.500) and W at (0.500, 0.500, 0.000).

As for the energy of formation: 219 meV per atom. As for the density of states at the Fermi level: 1.9 states/eV/f.u.

---

Number 1: volume 17.0 Å³ per atom. Number 2: volume 28.9 Å³ per atom. Number 3: volume 15.9 Å³ per atom.